# MnGa2AsO6

MnGa2AsO6 after structural relaxation (PBE with a Hubbard U, Alexandria via LeMat-Bulk).

Geometry as POSCAR:
```
MnGa2AsO6
1.0
5.643 -0.322 -0.335
1.413 6.478 0.528
1.413 0.287 6.493
Mn Ga As O
2 4 2 12
Cartesian
2.823 5.841 0.981
5.645 0.602 5.706
3.308 5.236 4.281
2.339 2.520 1.463
5.161 1.207 2.405
6.129 3.923 5.223
2.823 1.860 4.816
5.645 4.583 1.870
3.419 6.604 5.673
2.228 1.180 0.044
5.050 -0.161 1.014
6.240 5.263 6.642
3.926 5.620 2.555
1.721 4.259 1.143
4.543 0.823 4.132
6.747 2.184 5.544
7.145 4.633 3.868
4.145 2.589 1.746
1.323 1.810 2.819
4.323 3.854 4.941
```

Output
M_tot in μB per atom: 0.40
Calculated volume in Å³/atom: 12.11
Symmetry: No. 15
Energy in eV per atom: -6.3261